(1)
{
  "formula": "As2Pb14Cl4O17",
  "functional": "PBE-GGA",
  "state": "relaxed",
  "sg": "C2/c, No. 15",
  "dos_at_fermi_per_ev_cell": 0.0,
  "raw_formation_energy_ev_per_atom": -1.237,
  "lattice": [[6.472, -11.665, 0.000], [6.472, 11.665, 0.000], [-5.490, 0.000, 10.114]],
  "species": ["As", "As", "As", "As", "Pb", "Pb", "Pb", "Pb", "Pb", "Pb", "Pb", "Pb", "Pb", "Pb", "Pb", "Pb", "Pb", "Pb", "Pb", "Pb", "Pb", "Pb", "Pb", "Pb", "Pb", "Pb", "Pb", "Pb", "Pb", "Pb", "Pb", "Pb", "Cl", "Cl", "Cl", "Cl", "Cl", "Cl", "Cl", "Cl", "O", "O", "O", "O", "O", "O", "O", "O", "O", "O", "O", "O", "O", "O", "O", "O", "O", "O", "O", "O", "O", "O", "O", "O", "O", "O", "O", "O", "O", "O", "O", "O", "O", "O"],
  "fractional_positions": [[0.035, 0.683, 0.823], [0.317, 0.965, 0.677], [0.683, 0.035, 0.323], [0.965, 0.317, 0.177], [0.044, 0.217, 0.921], [0.046, 0.206, 0.450], [0.046, 0.659, 0.299], [0.179, 0.570, 0.573], [0.206, 0.046, 0.950], [0.207, 0.594, 0.060], [0.217, 0.044, 0.421], [0.298, 0.460, 0.307], [0.302, 0.471, 0.818], [0.341, 0.954, 0.201], [0.406, 0.793, 0.440], [0.430, 0.821, 0.927], [0.460, 0.298, 0.807], [0.471, 0.302, 0.318], [0.529, 0.698, 0.682], [0.540, 0.702, 0.193], [0.570, 0.179, 0.073], [0.594, 0.207, 0.560], [0.659, 0.046, 0.799], [0.698, 0.529, 0.182], [0.702, 0.540, 0.693], [0.783, 0.956, 0.579], [0.793, 0.406, 0.940], [0.794, 0.954, 0.050], [0.821, 0.430, 0.427], [0.954, 0.341, 0.701], [0.954, 0.794, 0.550], [0.956, 0.783, 0.079], [0.101, 0.136, 0.689], [0.136, 0.101, 0.189], [0.371, 0.372, 0.062], [0.372, 0.371, 0.562], [0.628, 0.629, 0.438], [0.629, 0.628, 0.938], [0.864, 0.899, 0.811], [0.899, 0.864, 0.311], [0.033, 0.328, 0.331], [0.097, 0.403, 0.140], [0.109, 0.383, 0.619], [0.116, 0.618, 0.820], [0.123, 0.406, 0.886], [0.134, 0.840, 0.950], [0.145, 0.855, 0.250], [0.160, 0.866, 0.550], [0.328, 0.033, 0.831], [0.332, 0.614, 0.486], [0.356, 0.644, 0.750], [0.369, 0.631, 0.250], [0.382, 0.884, 0.680], [0.383, 0.109, 0.119], [0.386, 0.668, 0.014], [0.403, 0.097, 0.640], [0.406, 0.123, 0.386], [0.594, 0.877, 0.614], [0.597, 0.903, 0.360], [0.614, 0.332, 0.986], [0.617, 0.891, 0.881], [0.618, 0.116, 0.320], [0.631, 0.369, 0.750], [0.644, 0.356, 0.250], [0.668, 0.386, 0.514], [0.672, 0.967, 0.169], [0.840, 0.134, 0.450], [0.855, 0.145, 0.750], [0.866, 0.160, 0.050], [0.877, 0.594, 0.114], [0.884, 0.382, 0.180], [0.891, 0.617, 0.381], [0.903, 0.597, 0.860], [0.967, 0.672, 0.669]]
}


(2)
{
  "formula": "AsPb2Cl2O4",
  "functional": "PBE-GGA",
  "state": "relaxed",
  "sg": "I4/mmm, No. 139",
  "dos_at_fermi_per_ev_cell": 0.0,
  "raw_formation_energy_ev_per_atom": -0.775,
  "lattice": [[-3.066, 3.066, 4.114], [3.066, -3.066, 4.114], [3.066, 3.066, -4.114]],
  "species": ["As", "Pb", "Pb", "Cl", "Cl", "O", "O", "O", "O"],
  "fractional_positions": [[0.000, 0.000, 0.000], [0.250, 0.750, 0.500], [0.750, 0.250, 0.500], [0.299, 0.299, 0.000], [0.701, 0.701, 0.000], [0.206, 0.206, 0.412], [0.206, 0.794, 0.000], [0.794, 0.206, 0.000], [0.794, 0.794, 0.588]]
}


(3)
{
  "formula": "AsPb2ClO4",
  "functional": "PBE-GGA",
  "state": "relaxed",
  "sg": "C2/m, No. 12",
  "dos_at_fermi_per_ev_cell": 0.0,
  "raw_formation_energy_ev_per_atom": -1.027,
  "lattice": [[5.005, -1.602, 0.000], [5.005, 1.602, 0.000], [-3.788, 0.000, 9.283]],
  "species": ["As", "Pb", "Pb", "Cl", "O", "O", "O", "O"],
  "fractional_positions": [[0.000, 0.000, 0.000], [0.369, 0.369, 0.229], [0.631, 0.631, 0.771], [0.000, 0.000, 0.500], [0.025, 0.025, 0.186], [0.365, 0.365, 0.969], [0.635, 0.635, 0.031], [0.975, 0.975, 0.814]]
}


(4)
{
  "formula": "As2PbClO",
  "functional": "PBE-GGA",
  "state": "relaxed",
  "sg": "P4/mmm, No. 123",
  "dos_at_fermi_per_ev_cell": 7.3,
  "raw_formation_energy_ev_per_atom": 1.099,
  "lattice": [[4.739, 0.000, 0.000], [0.000, 4.739, 0.000], [0.000, 0.000, 5.827]],
  "species": ["As", "As", "Pb", "Cl", "O"],
  "fractional_positions": [[0.000, 0.500, 0.000], [0.500, 0.000, 0.000], [0.000, 0.000, 0.500], [0.000, 0.000, 0.000], [0.500, 0.500, 0.500]]
}


(5)
{
  "formula": "PmAsClO4",
  "functional": "PBE-GGA",
  "state": "relaxed",
  "sg": "C2/m, No. 12",
  "dos_at_fermi_per_ev_cell": 0.0,
  "raw_formation_energy_ev_per_atom": -1.897,
  "lattice": [[5.640, -3.400, 0.000], [5.640, 3.400, 0.000], [-1.418, 0.000, 6.829]],
  "species": ["Pm", "Pm", "As", "As", "Cl", "Cl", "O", "O", "O", "O", "O", "O", "O", "O"],
  "fractional_positions": [[0.208, 0.208, 0.339], [0.792, 0.792, 0.661], [0.148, 0.148, 0.778], [0.852, 0.852, 0.222], [0.474, 0.474, 0.628], [0.526, 0.526, 0.372], [0.003, 0.385, 0.644], [0.006, 0.006, 0.250], [0.220, 0.220, 0.015], [0.385, 0.003, 0.644], [0.615, 0.997, 0.356], [0.780, 0.780, 0.985], [0.994, 0.994, 0.750], [0.997, 0.615, 0.356]]
}


(6)
{
  "formula": "Pr5As2ClO10",
  "functional": "PBE-GGA",
  "state": "relaxed",
  "sg": "C2/m, No. 12",
  "dos_at_fermi_per_ev_cell": 0.0,
  "raw_formation_energy_ev_per_atom": -2.787,
  "lattice": [[6.310, -2.891, 0.000], [6.310, 2.891, 0.000], [-4.079, 0.000, 8.250]],
  "species": ["Pr", "Pr", "Pr", "Pr", "Pr", "As", "As", "Cl", "O", "O", "O", "O", "O", "O", "O", "O", "O", "O"],
  "fractional_positions": [[0.000, 0.000, 0.000], [0.254, 0.254, 0.872], [0.500, 0.500, 0.293], [0.500, 0.500, 0.707], [0.746, 0.746, 0.128], [0.215, 0.215, 0.391], [0.785, 0.785, 0.609], [0.000, 0.000, 0.500], [0.092, 0.624, 0.753], [0.134, 0.626, 0.085], [0.360, 0.360, 0.400], [0.374, 0.866, 0.915], [0.376, 0.908, 0.247], [0.624, 0.092, 0.753], [0.626, 0.134, 0.085], [0.640, 0.640, 0.600], [0.866, 0.374, 0.915], [0.908, 0.376, 0.247]]
}


(7)
{
  "formula": "AsSClO6",
  "functional": "PBE-GGA",
  "state": "relaxed",
  "sg": "P312, No. 149",
  "dos_at_fermi_per_ev_cell": 3.4,
  "raw_formation_energy_ev_per_atom": -0.404,
  "lattice": [[4.737, 0.000, 0.000], [-2.368, 4.102, 0.000], [0.000, 0.000, 6.128]],
  "species": ["As", "S", "Cl", "O", "O", "O", "O", "O", "O"],
  "fractional_positions": [[0.000, 0.000, 0.000], [0.333, 0.667, 0.000], [0.667, 0.333, 0.500], [0.061, 0.361, 0.839], [0.061, 0.701, 0.161], [0.299, 0.361, 0.161], [0.299, 0.939, 0.839], [0.639, 0.701, 0.839], [0.639, 0.939, 0.161]]
}


(8)
{
  "formula": "AsSe2ClO",
  "functional": "PBE-GGA",
  "state": "relaxed",
  "sg": "P4/mmm, No. 123",
  "dos_at_fermi_per_ev_cell": 8.8,
  "polymorph_energy_ev_per_fu": 4.91,
  "raw_formation_energy_ev_per_atom": 1.585,
  "lattice": [[4.773, 0.000, 0.000], [0.000, 4.773, 0.000], [0.000, 0.000, 5.088]],
  "species": ["As", "Se", "Se", "Cl", "O"],
  "fractional_positions": [[0.000, 0.000, 0.000], [0.000, 0.500, 0.500], [0.500, 0.000, 0.500], [0.000, 0.000, 0.500], [0.500, 0.500, 0.000]]
}


(9)
{
  "formula": "AsSe2ClO",
  "functional": "PBE-GGA",
  "state": "relaxed",
  "sg": "P4/mmm, No. 123",
  "dos_at_fermi_per_ev_cell": 3.5,
  "polymorph_energy_ev_per_fu": 0.00,
  "raw_formation_energy_ev_per_atom": 0.602,
  "lattice": [[4.442, 0.000, 0.000], [0.000, 4.442, 0.000], [0.000, 0.000, 4.816]],
  "species": ["As", "Se", "Se", "Cl", "O"],
  "fractional_positions": [[0.000, 0.000, 0.000], [0.000, 0.500, 0.500], [0.500, 0.000, 0.500], [0.500, 0.500, 0.000], [0.000, 0.000, 0.500]]
}


(10)
{
  "formula": "As2SeClO",
  "functional": "PBE-GGA",
  "state": "relaxed",
  "sg": "P4/mmm, No. 123",
  "dos_at_fermi_per_ev_cell": 2.9,
  "polymorph_energy_ev_per_fu": 0.00,
  "raw_formation_energy_ev_per_atom": 0.542,
  "lattice": [[4.579, 0.000, 0.000], [0.000, 4.579, 0.000], [0.000, 0.000, 4.469]],
  "species": ["As", "As", "Se", "Cl", "O"],
  "fractional_positions": [[0.000, 0.500, 0.000], [0.500, 0.000, 0.000], [0.000, 0.000, 0.500], [0.500, 0.500, 0.500], [0.000, 0.000, 0.000]]
}


(11)
{
  "formula": "As2SeClO",
  "functional": "PBE-GGA",
  "state": "relaxed",
  "sg": "P4/mmm, No. 123",
  "dos_at_fermi_per_ev_cell": 5.3,
  "polymorph_energy_ev_per_fu": 5.14,
  "raw_formation_energy_ev_per_atom": 1.570,
  "lattice": [[4.943, 0.000, 0.000], [0.000, 4.943, 0.000], [0.000, 0.000, 4.694]],
  "species": ["As", "As", "Se", "Cl", "O"],
  "fractional_positions": [[0.000, 0.500, 0.000], [0.500, 0.000, 0.000], [0.000, 0.000, 0.500], [0.000, 0.000, 0.000], [0.500, 0.500, 0.500]]
}


(12)
{
  "formula": "SmAsClO4",
  "functional": "PBE-GGA",
  "state": "relaxed",
  "sg": "C2/m, No. 12",
  "dos_at_fermi_per_ev_cell": 0.0,
  "raw_formation_energy_ev_per_atom": -1.898,
  "lattice": [[5.619, -3.387, 0.000], [5.619, 3.387, 0.000], [-1.431, 0.000, 6.797]],
  "species": ["Sm", "Sm", "As", "As", "Cl", "Cl", "O", "O", "O", "O", "O", "O", "O", "O"],
  "fractional_positions": [[0.208, 0.208, 0.340], [0.792, 0.792, 0.660], [0.148, 0.148, 0.778], [0.852, 0.852, 0.222], [0.474, 0.474, 0.629], [0.526, 0.526, 0.371], [0.003, 0.386, 0.644], [0.006, 0.006, 0.249], [0.221, 0.221, 0.017], [0.386, 0.003, 0.644], [0.614, 0.997, 0.356], [0.779, 0.779, 0.983], [0.994, 0.994, 0.751], [0.997, 0.614, 0.356]]
}


(13)
{
  "formula": "SrAs2ClO",
  "functional": "PBE-GGA",
  "state": "relaxed",
  "sg": "P4/mmm, No. 123",
  "dos_at_fermi_per_ev_cell": 9.9,
  "raw_formation_energy_ev_per_atom": 0.479,
  "lattice": [[6.298, 0.000, 0.000], [0.000, 6.298, 0.000], [0.000, 0.000, 4.383]],
  "species": ["Sr", "As", "As", "Cl", "O"],
  "fractional_positions": [[0.000, 0.000, 0.000], [0.000, 0.500, 0.000], [0.500, 0.000, 0.000], [0.500, 0.500, 0.500], [0.000, 0.000, 0.500]]
}


(14)
{
  "formula": "Sr2AsClO4",
  "functional": "PBE-GGA",
  "state": "relaxed",
  "sg": "C2/m, No. 12",
  "dos_at_fermi_per_ev_cell": 0.0,
  "raw_formation_energy_ev_per_atom": -1.987,
  "lattice": [[4.776, -1.649, 0.000], [4.776, 1.649, 0.000], [-4.024, 0.000, 8.799]],
  "species": ["Sr", "Sr", "As", "Cl", "O", "O", "O", "O"],
  "fractional_positions": [[0.163, 0.163, 0.273], [0.837, 0.837, 0.727], [0.000, 0.000, 0.500], [0.500, 0.500, 0.000], [0.131, 0.131, 0.692], [0.388, 0.388, 0.542], [0.612, 0.612, 0.458], [0.869, 0.869, 0.308]]
}


(15)
{
  "formula": "TeAsClO2",
  "functional": "PBE-GGA",
  "state": "relaxed",
  "sg": "P4/mmm, No. 123",
  "dos_at_fermi_per_ev_cell": 2.4,
  "raw_formation_energy_ev_per_atom": -0.012,
  "lattice": [[4.019, 0.000, 0.000], [0.000, 4.019, 0.000], [0.000, 0.000, 7.219]],
  "species": ["Te", "As", "Cl", "O", "O"],
  "fractional_positions": [[0.000, 0.000, 0.000], [0.500, 0.500, 0.500], [0.000, 0.000, 0.500], [0.000, 0.500, 0.000], [0.500, 0.000, 0.000]]
}


(16)
{
  "formula": "TlAs2ClO",
  "functional": "PBE-GGA",
  "state": "relaxed",
  "sg": "P4/mmm, No. 123",
  "dos_at_fermi_per_ev_cell": 10.7,
  "raw_formation_energy_ev_per_atom": 1.295,
  "lattice": [[5.421, 0.000, 0.000], [0.000, 5.421, 0.000], [0.000, 0.000, 5.199]],
  "species": ["Tl", "As", "As", "Cl", "O"],
  "fractional_positions": [[0.000, 0.000, 0.000], [0.000, 0.500, 0.000], [0.500, 0.000, 0.000], [0.000, 0.000, 0.500], [0.500, 0.500, 0.500]]
}


(17)
{
  "formula": "TmAsClO4",
  "functional": "PBE-GGA",
  "state": "relaxed",
  "sg": "C2/m, No. 12",
  "dos_at_fermi_per_ev_cell": 0.0,
  "raw_formation_energy_ev_per_atom": -1.926,
  "lattice": [[5.498, -3.288, 0.000], [5.498, 3.288, 0.000], [-1.489, 0.000, 6.573]],
  "species": ["Tm", "Tm", "As", "As", "Cl", "Cl", "O", "O", "O", "O", "O", "O", "O", "O"],
  "fractional_positions": [[0.209, 0.209, 0.347], [0.791, 0.791, 0.653], [0.147, 0.147, 0.782], [0.853, 0.853, 0.218], [0.474, 0.474, 0.632], [0.526, 0.526, 0.368], [0.002, 0.391, 0.643], [0.011, 0.011, 0.253], [0.221, 0.221, 0.029], [0.391, 0.002, 0.643], [0.609, 0.998, 0.357], [0.779, 0.779, 0.971], [0.989, 0.989, 0.747], [0.998, 0.609, 0.357]]
}